Entry 1:
# PaMn2As

A geometry-optimized PaMn2As structure (PBE, the Alexandria database).

Computed properties:
- energy of formation (kcal/mol of atoms) = -0.9
- D(E_F) (states/eV/atom) = 0.40
- final energy (eV/atom) = -8.159

Structure (CIF):
```
data_PaMn2As
_chemical_formula_sum 'Pa4 Mn8 As4'
_cell_length_a 6.2684
_cell_length_b 6.2684
_cell_length_c 6.2684
_cell_angle_alpha 90.00
_cell_angle_beta 90.00
_cell_angle_gamma 90.00
_symmetry_space_group_name_H-M 'F m -3 m'
_symmetry_Int_Tables_number 225
_symmetry_space_group_name_Hall '-F 4 2 3'
loop_
_atom_site_label
_atom_site_type_symbol
_atom_site_fract_x
_atom_site_fract_y
_atom_site_fract_z
_atom_site_occupancy
Pa1 Pa 0.0000 0.0000 0.0000 1
Mn1 Mn 0.2500 0.2500 0.2500 1
As1 As 0.0000 0.0000 0.5000 1
```

Entry 2:
# Ca3Zn2Hg2Au4

A geometry-optimized Ca3Zn2Hg2Au4 structure (PBE, the Alexandria database).

Computed properties:
- energy of formation (kcal/mol of atoms) = -11.7
- D(E_F) (states/eV/atom) = 0.31
- final energy (eV/atom) = -2.531

Structure (CIF):
```
data_Ca3Zn2Hg2Au4
_chemical_formula_sum 'Ca3 Zn2 Hg2 Au4'
_cell_length_a 4.6797
_cell_length_b 4.6797
_cell_length_c 13.7532
_cell_angle_alpha 90.00
_cell_angle_beta 90.00
_cell_angle_gamma 120.00
_symmetry_space_group_name_H-M 'P -3 m 1'
_symmetry_Int_Tables_number 164
_symmetry_space_group_name_Hall '-P 3 2"'
loop_
_atom_site_label
_atom_site_type_symbol
_atom_site_fract_x
_atom_site_fract_y
_atom_site_fract_z
_atom_site_occupancy
Ca1 Ca 0.0000 0.0000 0.0000 1
Ca2 Ca 0.0000 0.0000 0.2654 1
Zn1 Zn 0.3333 0.6667 0.1429 1
Hg1 Hg 0.3333 0.6667 0.5704 1
Au1 Au 0.3333 0.6667 0.3514 1
Au2 Au 0.3333 0.6667 0.8739 1
```

Entry 3:
# Li2Ac2ScO6

A geometry-optimized Li2Ac2ScO6 structure (PBE, the Alexandria database).

Computed properties:
- uncorrected formation energy (eV/atom) = -2.608
- D(E_F) (states/eV/atom) = 0.73
- final energy (eV/atom) = -6.983

Structure (CIF):
```
data_Li2Ac2ScO6
_chemical_formula_sum 'Li6 Ac6 Sc3 O18'
_cell_length_a 5.8086
_cell_length_b 5.8086
_cell_length_c 15.4769
_cell_angle_alpha 90.00
_cell_angle_beta 90.00
_cell_angle_gamma 120.00
_symmetry_space_group_name_H-M 'R -3 m'
_symmetry_Int_Tables_number 166
_symmetry_space_group_name_Hall '-R 3 2"'
loop_
_atom_site_label
_atom_site_type_symbol
_atom_site_fract_x
_atom_site_fract_y
_atom_site_fract_z
_atom_site_occupancy
Li1 Li 0.0000 0.0000 0.0704 1
Ac1 Ac 0.0000 0.0000 0.2813 1
Sc1 Sc 0.0000 0.0000 0.5000 1
O1 O 0.0223 0.5111 0.2563 1
```

Entry 4:
# ZrTl2Se2

A geometry-optimized ZrTl2Se2 structure (PBE, the Alexandria database).

Computed properties:
- uncorrected formation energy (eV/atom) = 0.264
- D(E_F) (states/eV/atom) = 0.74
- distance to the lowest polymorph of the same formula (meV per atom) = 726
- final energy (eV/atom) = -3.786

Structure (CIF):
```
data_ZrTl2Se2
_chemical_formula_sum 'Zr2 Tl4 Se4'
_cell_length_a 3.6756
_cell_length_b 3.6756
_cell_length_c 20.3529
_cell_angle_alpha 90.00
_cell_angle_beta 90.00
_cell_angle_gamma 90.00
_symmetry_space_group_name_H-M 'I 4/m m m'
_symmetry_Int_Tables_number 139
_symmetry_space_group_name_Hall '-I 4 2'
loop_
_atom_site_label
_atom_site_type_symbol
_atom_site_fract_x
_atom_site_fract_y
_atom_site_fract_z
_atom_site_occupancy
Zr1 Zr 0.0000 0.0000 0.0000 1
Tl1 Tl 0.0000 0.0000 0.4123 1
Se1 Se 0.0000 0.5000 0.2500 1
```